The following is a DFT calculation (GGA-PBE) of SrNi2As after structural relaxation.

a b c (Å): 4.0840 4.0840 8.5831
angles (deg): 90.00 90.00 90.00
Closest atoms and distances in Å follow each position.
Space group I-4m2 (No. 119)
Symmetry-distinct sites (fractional):
Sr 0.0000 0.0000 0.0000 (multiplicity 2)  8 Ni 2.89-2.96, 4 As 2.96
Ni 0.0000 0.0000 0.5000 (multiplicity 2)  4 Sr 2.89, 4 As 2.96, 4 Ni 2.96
Ni 0.0000 0.5000 0.2500 (multiplicity 2)  4 As 2.89, 4 Ni 2.96, 4 Sr 2.96
As 0.0000 0.5000 0.7500 (multiplicity 2)  8 Ni 2.89-2.96, 4 Sr 2.96

Output
final energy	-4.3287	eV per atom
energy of formation	0.14	eV/atom

The following is a DFT calculation (GGA-PBE) of SrNi2As after structural relaxation.

a b c (Å): 4.0688 5.6839 7.2292
angles (deg): 90.00 90.00 90.00
Closest atoms and distances in Å follow each position.
Space group Imm2 (No. 44)
Symmetry-distinct sites (fractional):
Sr 0.0000 0.0000 0.0000 (multiplicity 2)  5 Ni 3.04-3.36, 4 As 3.08-3.13
Ni 0.0000 0.0000 0.4653 (multiplicity 2)  2 As 2.29, 2 Ni 2.43
Ni 0.0000 0.5000 0.1486 (multiplicity 2)  1 As 2.38, 2 Ni 2.43
As 0.0000 0.5000 0.8198 (multiplicity 2)  3 Ni 2.29-2.38

Output
final energy	-4.5548	eV per atom
energy of formation	-0.08	eV/atom

In order of appearance, spin magnetization = 0.00 0.00 μB/atom.